Record 1
## SrReW2 (PBE)

Data for a geometry-optimized SrReW2 structure.

For the spin magnetization, the calculation gives 0.000 μB per formula unit. The calculated total energy comes out at -8.545 eV/atom. The calculation puts the theoretical density at 9.7 Mg/m³. Its energy above the most stable polymorph in this dataset is 2.87 eV/f.u. For the formation energy, the calculation gives 5.86 eV per formula unit.

The space group is I-42d (No. 122) and the conventional cell measures 5.0269, 5.0269 and 17.4134 Å, with angles of 90.00, 90.00 and 90.00 degrees. The asymmetric unit holds Sr at (0.0000, 0.0000, 0.0000), Re at (0.0000, 0.0000, 0.5000) and W at (0.0125, 0.7500, 0.6250).

=====

Record 2
## Al2VGa2 (PBE)

Data for a geometry-optimized Al2VGa2 structure.

For the spin magnetization, the calculation gives 1.064 μB per formula unit. The calculated total energy comes out at -4.407 eV/atom. The calculation puts the theoretical density at 5.0 Mg/m³. Its energy above the most stable polymorph in this dataset is 1.16 eV/f.u. For the formation energy, the calculation gives 0.62 eV per formula unit.

The space group is P4/mbm (No. 127) and the conventional cell measures 6.7220, 6.7220 and 3.6233 Å, with angles of 90.00, 90.00 and 90.00 degrees. The asymmetric unit holds Al at (0.1648, 0.3352, 0.0000), V at (0.0000, 0.0000, 0.5000) and Ga at (0.1383, 0.6383, 0.5000).

=====

Record 3
## Ce2InCuS5 (PBE)

Data for a geometry-optimized Ce2InCuS5 structure.

For the spin magnetization, the calculation gives 1.918 μB per formula unit. The calculated total energy comes out at -5.661 eV/atom. Its uncorrected formation energy is -1.290 eV/atom. The calculation puts the theoretical density at 5.5 Mg/m³.

The space group is Cmc2_1 (No. 36) and the conventional cell measures 3.8920, 16.6140 and 11.6037 Å, with angles of 90.00, 90.00 and 90.00 degrees. The asymmetric unit holds Ce at (0.0000, 0.1124, 0.0000), Ce at (0.0000, 0.1213, 0.6174), In at (0.0000, 0.1884, 0.3147), Cu at (0.0000, 0.4934, 0.2974), S at (0.0000, 0.0380, 0.3765), S at (0.0000, 0.2918, 0.9762), S at (0.0000, 0.3008, 0.6560), S at (0.0000, 0.3510, 0.3136) and S at (0.0000, 0.4974, 0.6017).

=====

Record 4
## CsCaTl3 (PBE)

Data for a geometry-optimized CsCaTl3 structure.

For the spin magnetization, the calculation gives 0.000 μB per formula unit. The calculated total energy comes out at -1.301 eV/atom. The calculation puts the theoretical density at 5.0 Mg/m³. Its energy above the most stable polymorph in this dataset is 2.85 eV/f.u. For the formation energy, the calculation gives 3.45 eV per formula unit.

The space group is Pm-3m (No. 221) and the conventional cell measures 6.3821, 6.3821 and 6.3821 Å, with angles of 90.00, 90.00 and 90.00 degrees. The asymmetric unit holds Cs at (0.0000, 0.0000, 0.0000), Ca at (0.5000, 0.5000, 0.5000) and Tl at (0.0000, 0.0000, 0.5000).

=====

Record 5
## KRbTa2 (PBE)

Data for a geometry-optimized KRbTa2 structure.

For the spin magnetization, the calculation gives 2.129 μB per formula unit. The calculated total energy comes out at -3.689 eV/atom. The calculation puts the theoretical density at 6.9 Mg/m³. Its energy above the most stable polymorph in this dataset is 2.05 eV/f.u. For the formation energy, the calculation gives 11.01 eV per formula unit.

The space group is Fm-3m (No. 225) and the conventional cell measures 7.7653, 7.7653 and 7.7653 Å, with angles of 90.00, 90.00 and 90.00 degrees. The asymmetric unit holds K at (0.0000, 0.0000, 0.0000), Rb at (0.0000, 0.0000, 0.5000) and Ta at (0.2500, 0.2500, 0.2500).

=====

Record 6
## LaScP2 (PBE)

Data for a geometry-optimized LaScP2 structure.

For the spin magnetization, the calculation gives 0.000 μB per formula unit. The calculated total energy comes out at -6.685 eV/atom. The calculation puts the theoretical density at 4.4 Mg/m³. Its energy above the most stable polymorph in this dataset is 1.24 eV/f.u. For the formation energy, the calculation gives -4.66 eV per formula unit.

The space group is Imm2 (No. 44) and the conventional cell measures 3.6099, 3.7440 and 13.6669 Å, with angles of 90.00, 90.00 and 90.00 degrees. The asymmetric unit holds La at (0.0000, 0.0000, 0.0000), Sc at (0.0000, 0.5000, 0.2506), P at (0.0000, 0.0000, 0.6026) and P at (0.0000, 0.5000, 0.8241).